TlRhIN2 at its PBEsol-relaxed geometry. Source: Alexandria, functional meta-GGA SCAN.

Values from the calculation:
- spin magnetization (Bohr magnetons per cell) = 4.34
- formation energy (no corrections) (meV/atom) = 1995
- E_tot (eV/atom) = -30.296

abc: 4.113 4.113 6.509
angles: 90.00 90.00 90.00
Last column: magnetic moment on the atom in μB.
Fractional positions:
I 0.000 0.000 0.500  0.05
N 0.000 0.500 0.000  0.97
N 0.500 0.000 0.000  0.97
Rh 0.500 0.500 0.500  1.52
Tl 0.000 0.000 0.000  -0.03